1.
The following is a PBE calculation of crystalline SiAgI2N at its relaxed geometry, from Alexandria.

Values from the calculation:
Raw total energy = -2.75 eV per atom
Total moment = 1.86 Bohr magnetons per cell
Calculated volume = 137.3 Å³/f.u.
D(E_F) = 0.49 states/eV per atom

```
5
Lattice="-3.6778 4.3525 1.2093 -4.1335 -3.8715 1.3634 1.2662 0.0019 3.8440" Properties=species:S:1:pos:R:3 pbc="T T T"
Ag 0.0000 0.0000 0.0000
I -1.8389 2.1762 0.6047
I -2.0667 -1.9358 0.6817
N 0.6331 0.0009 1.9220
Si -3.2725 0.2414 3.2084
```

---

2.
The following is a PBE calculation of crystalline SiAgI2N at its relaxed geometry, from Alexandria.

Values from the calculation:
Raw total energy = -3.67 eV per atom
Total moment = 0.00 Bohr magnetons per cell
Calculated volume = 115.6 Å³/f.u.
D(E_F) = 0.31 states/eV per atom

```
5
Lattice="5.8777 0.0000 0.0000 0.0000 5.8777 0.0000 0.0000 0.0000 3.3471" Properties=species:S:1:pos:R:3 pbc="T T T"
Ag 2.9389 2.9389 1.6735
I 0.0000 2.9389 0.0000
I 2.9389 0.0000 0.0000
N 0.0000 0.0000 1.6735
Si 0.0000 0.0000 0.0000
```

---

3.
The following is a PBE calculation of crystalline SiAgIN2 at its relaxed geometry, from Alexandria.

Values from the calculation:
Raw total energy = -3.34 eV per atom
Total moment = 2.66 Bohr magnetons per cell
Calculated volume = 115.5 Å³/f.u.
D(E_F) = 0.28 states/eV per atom

```
5
Lattice="4.1494 0.0000 0.0000 0.0000 4.1494 0.0000 0.0000 0.0000 6.7071" Properties=species:S:1:pos:R:3 pbc="T T T"
N 0.0000 2.0747 0.0000
N 2.0747 0.0000 0.0000
Si 2.0747 2.0747 3.3536
I 0.0000 0.0000 3.3536
Ag 0.0000 0.0000 0.0000
```

---

4.
The following is a PBE calculation of crystalline SiAgIN2 at its relaxed geometry, from Alexandria.

Values from the calculation:
Raw total energy = -4.52 eV per atom
Total moment = 0.00 Bohr magnetons per cell
Calculated volume = 94.2 Å³/f.u.
D(E_F) = 0.36 states/eV per atom

```
5
Lattice="3.6782 0.0000 0.0000 0.0000 3.6782 0.0000 0.0000 0.0000 6.9642" Properties=species:S:1:pos:R:3 pbc="T T T"
Si 0.0000 0.0000 0.0000
Ag 1.8391 1.8391 3.4821
N 0.0000 1.8391 0.0000
N 1.8391 0.0000 0.0000
I 0.0000 0.0000 3.4821
```

---

5.
The following is a PBE calculation of crystalline SrAgI2N at its relaxed geometry, from Alexandria.

Values from the calculation:
Raw total energy = -2.92 eV per atom
Total moment = 2.18 Bohr magnetons per cell
Calculated volume = 207.3 Å³/f.u.
D(E_F) = 0.34 states/eV per atom

```
5
Lattice="-3.1959 5.2739 -1.8506 -3.0281 0.1581 5.6797 3.6486 2.8656 1.8654" Properties=species:S:1:pos:R:3 pbc="T T T"
I -1.5140 0.0790 2.8399
I -1.5980 2.6370 -0.9253
Sr 0.0000 0.0000 0.0000
Ag -1.2877 4.1488 2.8473
N 1.8243 1.4328 0.9327
```

---

6.
The following is a PBE calculation of crystalline SrAgI2N at its relaxed geometry, from Alexandria.

Values from the calculation:
Raw total energy = -3.13 eV per atom
Total moment = 0.00 Bohr magnetons per cell
Calculated volume = 136.4 Å³/f.u.
D(E_F) = 0.32 states/eV per atom

```
5
Lattice="-0.1152 5.0498 -2.6642 -3.8641 0.6776 1.4515 2.1838 2.5011 4.6462" Properties=species:S:1:pos:R:3 pbc="T T T"
Sr -0.8978 4.1142 1.7168
I 1.0919 1.2505 2.3231
I -0.0576 2.5249 -1.3321
Ag -1.9321 0.3388 0.7257
N 0.0000 0.0000 0.0000
```

---

7.
The following is a PBE calculation of crystalline SrAgI2N at its relaxed geometry, from Alexandria.

Values from the calculation:
Raw total energy = -3.13 eV per atom
Total moment = 1.83 Bohr magnetons per cell
Calculated volume = 151.9 Å³/f.u.
D(E_F) = 0.48 states/eV per atom

```
5
Lattice="6.0097 0.0000 0.0000 0.0000 6.0097 0.0000 0.0000 0.0000 4.2064" Properties=species:S:1:pos:R:3 pbc="T T T"
Ag 0.0000 0.0000 0.0000
N 0.0000 0.0000 2.1032
Sr 3.0049 3.0049 2.1032
I 0.0000 3.0049 0.0000
I 3.0049 0.0000 0.0000
```

---

8.
The following is a PBE calculation of crystalline TcAgI2N at its relaxed geometry, from Alexandria.

Values from the calculation:
Raw total energy = -3.33 eV per atom
Total moment = 4.57 Bohr magnetons per cell
Calculated volume = 136.3 Å³/f.u.
D(E_F) = 0.89 states/eV per atom

```
5
Lattice="-5.3865 -0.0372 2.5005 -0.7052 -5.6745 -1.6035 1.5614 -1.1397 3.3465" Properties=species:S:1:pos:R:3 pbc="T T T"
Tc -2.2651 -3.4257 2.1218
Ag 0.0000 0.0000 0.0000
I -0.3526 -2.8372 -0.8017
I -2.6932 -0.0186 1.2503
N 0.7807 -0.5698 1.6733
```

---

9.
The following is a PBE calculation of crystalline TcAgI2N at its relaxed geometry, from Alexandria.

Values from the calculation:
Raw total energy = -4.56 eV per atom
Total moment = 0.00 Bohr magnetons per cell
Calculated volume = 118.9 Å³/f.u.
D(E_F) = 0.74 states/eV per atom

```
5
Lattice="-1.7501 -1.3669 5.1662 5.0507 -2.1991 1.1291 1.1673 3.3374 1.2785" Properties=species:S:1:pos:R:3 pbc="T T T"
I 2.5254 -1.0995 0.5646
I -0.8750 -0.6834 2.5831
N 0.5837 1.6687 0.6392
Ag 2.2340 -0.1143 3.7869
Tc 0.0000 0.0000 0.0000
```

---

10.
The following is a PBE calculation of crystalline Ti2AgIN at its relaxed geometry, from Alexandria.

Values from the calculation:
Raw total energy = -5.72 eV per atom
Total moment = 0.91 Bohr magnetons per cell
Calculated volume = 102.5 Å³/f.u.
D(E_F) = 0.89 states/eV per atom

```
5
Lattice="4.0407 0.0000 0.0000 0.0000 6.2775 0.0000 0.0000 0.0000 4.0407" Properties=species:S:1:pos:R:3 pbc="T T T"
I 0.0000 3.1387 0.0000
Ti 2.0203 0.0000 0.0000
Ti 0.0000 0.0000 2.0203
Ag 2.0203 3.1387 2.0203
N 0.0000 0.0000 0.0000
```

---

11.
The following is a PBE calculation of crystalline TiAgI2N at its relaxed geometry, from Alexandria.

Values from the calculation:
Raw total energy = -4.51 eV per atom
Total moment = 0.00 Bohr magnetons per cell
Calculated volume = 124.5 Å³/f.u.
D(E_F) = 0.31 states/eV per atom

```
5
Lattice="-4.0405 2.3709 -3.3301 -4.0564 -1.7451 3.6792 0.3322 3.2375 1.9019" Properties=species:S:1:pos:R:3 pbc="T T T"
Ag -3.8823 1.9317 1.1255
N 0.1661 1.6188 0.9510
I -2.0202 1.1855 -1.6650
I -2.0282 -0.8726 1.8396
Ti 0.0000 0.0000 0.0000
```

---

12.
The following is a PBE calculation of crystalline TiAgI2N at its relaxed geometry, from Alexandria.

Values from the calculation:
Raw total energy = -3.25 eV per atom
Total moment = 0.13 Bohr magnetons per cell
Calculated volume = 132.9 Å³/f.u.
D(E_F) = 1.44 states/eV per atom

```
5
Lattice="5.8604 0.0000 0.0000 0.0000 5.8604 0.0000 0.0000 0.0000 3.8689" Properties=species:S:1:pos:R:3 pbc="T T T"
I 0.0000 2.9302 0.0000
I 2.9302 0.0000 0.0000
Ag 0.0000 0.0000 0.0000
Ti 2.9302 2.9302 1.9345
N 0.0000 0.0000 1.9345
```